1.
VReMo after structural relaxation, computed with PBE.

Structure (POSCAR):
```
VReMo
1.0
0.000 5.027 3.906
4.629 0.000 3.906
4.629 5.027 0.000
V Re Mo
4 4 4
Direct
0.190 0.810 0.435
0.685 0.815 0.440
0.810 0.190 0.565
0.815 0.685 0.060
0.015 0.145 0.115
0.135 0.524 0.235
0.145 0.015 0.726
0.524 0.135 0.105
0.349 0.484 0.774
0.476 0.857 0.901
0.484 0.349 0.393
0.857 0.476 0.766
```

Properties
The value obtained for the formation energy is 0.455 eV per formula unit. As for the symmetry: Fdd2, No. 43. Its energy above the lowest structure with this stoichiometry is 347 meV/atom.

---

2.
FeAu4 after structural relaxation, computed with PBE.

Structure (POSCAR):
```
FeAu4
1.0
4.804 0.000 0.000
0.000 4.804 0.000
0.000 0.000 4.804
Fe Au
1 4
Direct
0.000 0.000 0.000
0.000 0.000 0.500
0.000 0.500 0.000
0.500 0.000 0.000
0.500 0.500 0.500
```

Properties
The value obtained for the formation energy is 4.223 eV per formula unit. As for the symmetry: Pm-3m, No. 221.

---

3.
CsCaS2N after structural relaxation, computed with PBE.

Structure (POSCAR):
```
CsCaS2N
1.0
5.510 0.000 0.000
0.000 5.510 0.000
0.000 0.000 5.024
Cs Ca S N
1 1 2 1
Direct
0.000 0.000 0.000
0.500 0.500 0.500
0.000 0.500 0.500
0.500 0.000 0.500
0.500 0.500 0.000
```

Properties
As for the symmetry: P4/mmm, No. 123. Its energy above the lowest structure with this stoichiometry is 0 meV/atom.

---

Please write out number 3 again, unchanged.
CsCaS2N after structural relaxation, computed with PBE.

Structure (POSCAR):
```
CsCaS2N
1.0
5.510 0.000 0.000
0.000 5.510 0.000
0.000 0.000 5.024
Cs Ca S N
1 1 2 1
Direct
0.000 0.000 0.000
0.500 0.500 0.500
0.000 0.500 0.500
0.500 0.000 0.500
0.500 0.500 0.000
```

Properties
As for the symmetry: P4/mmm, No. 123. Its energy above the lowest structure with this stoichiometry is 0 meV/atom.

---

Copy entry 3 word for word.
CsCaS2N after structural relaxation, computed with PBE.

Structure (POSCAR):
```
CsCaS2N
1.0
5.510 0.000 0.000
0.000 5.510 0.000
0.000 0.000 5.024
Cs Ca S N
1 1 2 1
Direct
0.000 0.000 0.000
0.500 0.500 0.500
0.000 0.500 0.500
0.500 0.000 0.500
0.500 0.500 0.000
```

Properties
As for the symmetry: P4/mmm, No. 123. Its energy above the lowest structure with this stoichiometry is 0 meV/atom.